Np2Ge4Ir3 | PBE | relaxed

a b c (Å): 7.885 7.885 7.530
angles (deg): 90.00 90.00 137.28
Fractional positions:
Np  0.105  0.895  0.910
Np  0.395  0.605  0.410
Np  0.605  0.395  0.590
Np  0.895  0.105  0.090
Ge  0.180  0.820  0.525
Ge  0.191  0.309  0.750
Ge  0.309  0.191  0.250
Ge  0.320  0.680  0.025
Ge  0.680  0.320  0.975
Ge  0.691  0.809  0.750
Ge  0.809  0.691  0.250
Ge  0.820  0.180  0.475
Ir  0.000  0.000  0.500
Ir  0.019  0.481  0.750
Ir  0.481  0.019  0.250
Ir  0.500  0.500  0.000
Ir  0.519  0.981  0.750
Ir  0.981  0.519  0.250

Computed properties:
The calculation puts the density of states at the Fermi level at 17.08 states/eV/f.u.

NpGe2Ir | PBE | relaxed

a b c (Å): 4.920 4.920 2.876
angles (deg): 90.00 90.00 90.00
Fractional positions:
Np  0.000  0.000  0.000
Ge  0.000  0.500  0.500
Ge  0.500  0.000  0.500
Ir  0.500  0.500  0.000

Computed properties:
The calculation puts the density of states at the Fermi level at 6.40 states/eV/f.u.

NpGeIr | PBE | relaxed

a b c (Å): 4.512 4.512 4.512
angles (deg): 60.00 60.00 60.00
Fractional positions:
Np  0.000  0.000  0.000
Ge  0.500  0.500  0.500
Ir  0.750  0.750  0.750

Computed properties:
The calculation puts the density of states at the Fermi level at 10.13 states/eV/f.u.

Np2Ge8Ir | PBE | relaxed

a b c (Å): 4.307 4.307 11.139
angles (deg): 90.00 90.00 90.00
Fractional positions:
Np  0.000  0.000  0.186
Np  0.000  0.000  0.814
Ge  0.000  0.500  0.000
Ge  0.000  0.500  0.371
Ge  0.000  0.500  0.629
Ge  0.500  0.000  0.000
Ge  0.500  0.000  0.371
Ge  0.500  0.000  0.629
Ge  0.500  0.500  0.190
Ge  0.500  0.500  0.810
Ir  0.000  0.000  0.500

Computed properties:
The calculation puts the density of states at the Fermi level at 20.22 states/eV/f.u.

NpGeIr | PBE | relaxed

a b c (Å): 9.362 9.362 3.698
angles (deg): 90.00 90.00 155.43
Fractional positions:
Np  0.202  0.798  0.000
Np  0.798  0.202  0.000
Ge  0.434  0.566  0.000
Ge  0.566  0.434  0.000
Ir  0.343  0.657  0.500
Ir  0.657  0.343  0.500

Computed properties:
The calculation puts the density of states at the Fermi level at 3.18 states/eV/f.u.

NpPaGeIr | PBE | relaxed

a b c (Å): 4.819 4.819 4.819
angles (deg): 60.00 60.00 60.00
Fractional positions:
Np  0.000  0.000  0.000
Pa  0.250  0.250  0.250
Ge  0.750  0.750  0.750
Ir  0.500  0.500  0.500

Computed properties:
The calculation puts the density of states at the Fermi level at 8.38 states/eV/f.u.

Np2Ge4Ir3Pd | PBE | relaxed

a b c (Å): 4.229 4.229 10.253
angles (deg): 90.00 90.00 90.00
Fractional positions:
Np  0.000  0.500  0.240
Np  0.500  0.000  0.760
Ge  0.000  0.000  0.000
Ge  0.000  0.500  0.634
Ge  0.500  0.000  0.366
Ge  0.500  0.500  0.000
Ir  0.000  0.500  0.870
Ir  0.500  0.000  0.130
Ir  0.500  0.500  0.500
Pd  0.000  0.000  0.500

Computed properties:
The calculation puts the density of states at the Fermi level at 22.42 states/eV/f.u.

Np2Ge3Ir4Pd | PBE | relaxed

a b c (Å): 3.999 3.999 11.409
angles (deg): 90.00 90.00 90.00
Fractional positions:
Np  0.000  0.500  0.238
Np  0.500  0.000  0.762
Ge  0.000  0.000  0.000
Ge  0.000  0.500  0.624
Ge  0.500  0.000  0.376
Ir  0.000  0.000  0.500
Ir  0.000  0.500  0.835
Ir  0.500  0.000  0.165
Ir  0.500  0.500  0.500
Pd  0.500  0.500  0.000

Computed properties:
The calculation puts the density of states at the Fermi level at 19.44 states/eV/f.u.

Pm2NpGe4Ir3 | PBE | relaxed

a b c (Å): 4.245 4.245 11.306
angles (deg): 90.00 90.00 90.00
Fractional positions:
Pm  0.000  0.500  0.232
Pm  0.500  0.000  0.768
Np  0.000  0.000  0.500
Ge  0.000  0.000  0.000
Ge  0.000  0.500  0.671
Ge  0.500  0.000  0.329
Ge  0.500  0.500  0.000
Ir  0.000  0.500  0.885
Ir  0.500  0.000  0.115
Ir  0.500  0.500  0.500

Computed properties:
The calculation puts the density of states at the Fermi level at 10.89 states/eV/f.u.

Np2Ge4IrPt3 | PBE | relaxed

a b c (Å): 4.141 4.141 10.883
angles (deg): 90.00 90.00 90.00
Fractional positions:
Np  0.000  0.500  0.245
Np  0.500  0.000  0.755
Ge  0.000  0.000  0.500
Ge  0.000  0.500  0.866
Ge  0.500  0.000  0.134
Ge  0.500  0.500  0.500
Ir  0.500  0.500  0.000
Pt  0.000  0.000  0.000
Pt  0.000  0.500  0.641
Pt  0.500  0.000  0.359

Computed properties:
The calculation puts the density of states at the Fermi level at 21.16 states/eV/f.u.

PuNpGeIr | PBE | relaxed

a b c (Å): 4.810 4.810 4.810
angles (deg): 60.00 60.00 60.00
Fractional positions:
Pu  0.000  0.000  0.000
Np  0.750  0.750  0.750
Ge  0.500  0.500  0.500
Ir  0.250  0.250  0.250

Computed properties:
The calculation puts the density of states at the Fermi level at 9.89 states/eV/f.u. For the energy above the most stable polymorph in this dataset, the calculation gives 18 meV per atom.

PuNpGeIr | PBE | relaxed

a b c (Å): 4.452 4.452 5.514
angles (deg): 90.00 90.00 120.00
Fractional positions:
Pu  0.000  0.000  0.000
Np  0.333  0.667  0.464
Ge  0.667  0.333  0.733
Ir  0.667  0.333  0.238

Computed properties:
The calculation puts the density of states at the Fermi level at 14.47 states/eV/f.u. For the energy above the most stable polymorph in this dataset, the calculation gives 0 meV per atom.

no.,ΔE_f (eV/atom)
1,-0.43
2,0.04
3,-0.19
4,-0.18
5,-0.03
6,-0.16
7,-0.42
8,-0.39
9,-0.57
10,-0.51
11,-0.19
12,-0.21